Entry 1:
# LiErPdRu

A relaxed LiErPdRu crystal (PBE, the Alexandria database).

The structure belongs to space group F-43m (No. 216); the cell edges are 6.437, 6.437 and 6.437 Å and the angles 90.00°, 90.00° and 90.00°. Symmetry generates all atoms from Li at (0.000, 0.000, 0.000), Er at (0.000, 0.000, 0.500), Pd at (0.250, 0.250, 0.750) and Ru at (0.250, 0.250, 0.250).

The formation energy comes out at -0.28 eV per atom. The calculation puts the total energy at -22.06 eV/f.u.

***

Entry 2:
# TlBiO2

A relaxed TlBiO2 crystal (PBE, the Alexandria database).

The structure belongs to space group I-42d (No. 122); the cell edges are 6.035, 6.035 and 10.444 Å and the angles 90.00°, 90.00° and 90.00°. Symmetry generates all atoms from Tl at (0.000, 0.000, 0.000), Bi at (0.000, 0.000, 0.500) and O at (0.177, 0.250, 0.625).

The formation energy without anion corrections comes out at -0.846 eV/atom. The calculation puts the total energy at -19.55 eV/f.u.

***

Entry 3:
# TmTlTcO6

A relaxed TmTlTcO6 crystal (PBE, the Alexandria database).

The structure belongs to space group P312 (No. 149); the cell edges are 5.4924, 5.4924 and 4.7898 Å and the angles 90.00°, 90.00° and 120.00°. Symmetry generates all atoms from Tm at (0.0000, 0.0000, 0.0000), Tl at (0.6667, 0.3333, 0.5000), Tc at (0.3333, 0.6667, 0.0000) and O at (0.0526, 0.3703, 0.2276).

The formation energy without anion corrections comes out at -1.702 eV/atom. The calculation puts the total energy at -62.27 eV/f.u.

***

Entry 4:
# Mg4ZrIr

A relaxed Mg4ZrIr crystal (PBE, the Alexandria database).

The structure belongs to space group F-43m (No. 216); the cell edges are 7.685, 7.685 and 7.685 Å and the angles 90.00°, 90.00° and 90.00°. Symmetry generates all atoms from Mg at (0.125, 0.125, 0.125), Zr at (0.250, 0.250, 0.750) and Ir at (0.000, 0.000, 0.500).

The formation energy comes out at 0.18 eV per atom. The calculation puts the total energy at -22.72 eV/f.u.

***

Entry 5:
# BaZr2In

A relaxed BaZr2In crystal (PBE, the Alexandria database).

The structure belongs to space group P4mm (No. 99); the cell edges are 3.374, 3.374 and 10.087 Å and the angles 90.00°, 90.00° and 90.00°. Symmetry generates all atoms from Ba at (0.000, 0.000, 0.000), Zr at (0.000, 0.000, 0.479), Zr at (0.500, 0.500, 0.681) and In at (0.500, 0.500, 0.269).

The formation energy comes out at 0.05 eV per atom. The calculation puts the total energy at -21.57 eV/f.u.

***

Entry 6:
# Sc4RhAu2

A relaxed Sc4RhAu2 crystal (PBE, the Alexandria database).

The structure belongs to space group Cmmm (No. 65); the cell edges are 6.830, 9.258 and 4.595 Å and the angles 90.00°, 90.00° and 90.00°. Symmetry generates all atoms from Sc at (0.250, 0.000, 0.000), Sc at (0.250, 0.250, 0.500), Rh at (0.000, 0.000, 0.500) and Au at (0.000, 0.250, 0.000).

The formation energy comes out at -0.70 eV per atom. The calculation puts the total energy at -44.11 eV/f.u.

***

Entry 7:
# PmCuAsO

A relaxed PmCuAsO crystal (PBE, the Alexandria database).

The structure belongs to space group P4/nmm (No. 129, origin choice 2); the cell edges are 4.018, 4.018 and 8.606 Å and the angles 90.00°, 90.00° and 90.00°. Symmetry generates all atoms from Pm at (0.250, 0.250, 0.136), Cu at (0.250, 0.750, 0.500), As at (0.250, 0.250, 0.663) and O at (0.250, 0.750, 0.000).

The formation energy without anion corrections comes out at -1.690 eV/atom. The calculation puts the total energy at -25.21 eV/f.u.

***

Entry 8:
# MgTaPd6

A relaxed MgTaPd6 crystal (PBE, the Alexandria database).

The structure belongs to space group P4/mmm (No. 123); the cell edges are 3.971, 3.971 and 7.903 Å and the angles 90.00°, 90.00° and 90.00°. Symmetry generates all atoms from Mg at (0.000, 0.000, 0.000), Ta at (0.000, 0.000, 0.500), Pd at (0.000, 0.500, 0.257), Pd at (0.500, 0.500, 0.000) and Pd at (0.500, 0.500, 0.500).

The formation energy comes out at -0.55 eV per atom. The calculation puts the total energy at -49.03 eV/f.u.

***

Entry 9:
# RbBePb

A relaxed RbBePb crystal (PBE, the Alexandria database).

The structure belongs to space group P1 (No. 1); the cell edges are 4.581, 6.987 and 7.373 Å and the angles 68.37°, 74.61° and 84.40°. Symmetry generates all atoms from Rb at (0.000, 0.000, 0.000), Rb at (0.214, 0.616, 0.602), Be at (0.050, 0.390, 0.163), Be at (0.279, 0.173, 0.368), Pb at (0.556, 0.523, 0.103) and Pb at (0.713, 0.155, 0.517).

The formation energy comes out at 0.23 eV per atom. The calculation puts the total energy at -7.73 eV/f.u.

***

Entry 10:
# TaNiAs2

A relaxed TaNiAs2 crystal (PBE, the Alexandria database).

The structure belongs to space group Fm-3m (No. 225); the cell edges are 6.306, 6.306 and 6.306 Å and the angles 90.00°, 90.00° and 90.00°. Symmetry generates all atoms from Ta at (0.000, 0.000, 0.000), Ni at (0.000, 0.000, 0.500) and As at (0.250, 0.250, 0.250).

The formation energy comes out at 0.03 eV per atom. The calculation puts the total energy at -26.82 eV/f.u.

***

Entry 11:
# AlSbTe2

A relaxed AlSbTe2 crystal (PBE, the Alexandria database).

The structure belongs to space group Pmmm (No. 47); the cell edges are 3.674, 5.304 and 5.381 Å and the angles 90.00°, 90.00° and 90.00°. Symmetry generates all atoms from Al at (0.000, 0.000, 0.000), Sb at (0.500, 0.500, 0.000), Te at (0.000, 0.500, 0.500) and Te at (0.500, 0.000, 0.500).

The formation energy without anion corrections comes out at 0.254 eV/atom. The calculation puts the total energy at -13.13 eV/f.u.

***

Entry 12:
# Cs2CaCuBr5

A relaxed Cs2CaCuBr5 crystal (PBE, the Alexandria database).

The structure belongs to space group Cmc2_1 (No. 36); the cell edges are 4.419, 20.858 and 14.896 Å and the angles 90.00°, 90.00° and 90.00°. Symmetry generates all atoms from Cs at (0.000, 0.121, 0.000), Cs at (0.000, 0.124, 0.636), Ca at (0.000, 0.196, 0.328), Cu at (0.000, 0.434, 0.739), Br at (0.000, 0.057, 0.320), Br at (0.000, 0.302, 0.959), Br at (0.000, 0.310, 0.693), Br at (0.000, 0.333, 0.318) and Br at (0.000, 0.493, 0.599).

The formation energy without anion corrections comes out at -1.544 eV/atom. The calculation puts the total energy at -30.06 eV/f.u.

***

What did the tenth record say?
# TaNiAs2

A relaxed TaNiAs2 crystal (PBE, the Alexandria database).

The structure belongs to space group Fm-3m (No. 225); the cell edges are 6.306, 6.306 and 6.306 Å and the angles 90.00°, 90.00° and 90.00°. Symmetry generates all atoms from Ta at (0.000, 0.000, 0.000), Ni at (0.000, 0.000, 0.500) and As at (0.250, 0.250, 0.250).

The formation energy comes out at 0.03 eV per atom. The calculation puts the total energy at -26.82 eV/f.u.